Record 1
LiIn2Cu2 after structural relaxation. Source: Alexandria, functional PBE.

## Properties
- Energy of formation: -98 meV/atom
- Total moment: 0.00 μB/f.u.
- Energy relative to the lowest polymorph listed for this composition: 0.000 eV per formula unit
- Density of states at the Fermi level: 1.063 states/eV/f.u.

Unit cell a=4.4775 b=4.4775 c=5.2512 alpha=90.00 beta=90.00 gamma=120.00
Space group P-3m1 (No. 164)
Asymmetric unit:
Li 0.0000 0.0000 0.0000
In 0.3333 0.6667 0.3493
Cu 0.3333 0.6667 0.8587

=====

Record 2
Li2InCu after structural relaxation. Source: Alexandria, functional PBE.

## Properties
- Energy of formation: 28 meV/atom
- Total moment: 0.00 μB/f.u.
- Density of states at the Fermi level: 1.716 states/eV/f.u.

Unit cell a=3.0683 b=3.0683 c=26.0394 alpha=90.00 beta=90.00 gamma=120.00
Space group R3m (No. 160, hexagonal axes)
Asymmetric unit:
Li 0.0000 0.0000 0.0000
Li 0.0000 0.0000 0.1844
In 0.0000 0.0000 0.4260
Cu 0.0000 0.0000 0.5920

=====

Record 3
Li6InCu2 after structural relaxation. Source: Alexandria, functional PBE.

## Properties
- Energy of formation: -24 meV/atom
- Total moment: 0.00 μB/f.u.
- Energy relative to the lowest polymorph listed for this composition: 0.685 eV per formula unit
- Density of states at the Fermi level: 3.193 states/eV/f.u.

Unit cell a=4.5363 b=4.5363 c=26.8961 alpha=90.00 beta=90.00 gamma=120.00
Space group R-3m (No. 166, hexagonal axes)
Asymmetric unit:
Li 0.0000 0.0000 0.0840
Li 0.0000 0.0000 0.2040
Li 0.0000 0.0000 0.3082
In 0.0000 0.0000 0.5000
Cu 0.0000 0.0000 0.4046

=====

Record 4
Li2InCu after structural relaxation. Source: Alexandria, functional PBE.

## Properties
- Energy of formation: 44 meV/atom
- Total moment: 0.00 μB/f.u.
- Density of states at the Fermi level: 1.601 states/eV/f.u.

Unit cell a=3.1547 b=3.1547 c=25.0537 alpha=90.00 beta=90.00 gamma=120.00
Space group R-3m (No. 166, hexagonal axes)
Asymmetric unit:
Li 0.0000 0.0000 0.2413
In 0.0000 0.0000 0.0000
Cu 0.0000 0.0000 0.5000

=====

Record 5
Li2In2Cu after structural relaxation. Source: Alexandria, functional PBE.

## Properties
- Energy of formation: -192 meV/atom
- Total moment: 0.00 μB/f.u.
- Energy relative to the lowest polymorph listed for this composition: 0.000 eV per formula unit
- Density of states at the Fermi level: 1.180 states/eV/f.u.

Unit cell a=4.515 b=4.551 c=5.483 alpha=67.35 beta=66.72 gamma=60.94
Space group P-1 (No. 2)
Asymmetric unit:
Li 0.192 0.191 0.425
In 0.395 0.394 0.812
Cu 0.000 0.000 0.000

=====

Record 6
LiIn2Cu after structural relaxation. Source: Alexandria, functional PBE.

## Properties
- Energy of formation: -53 meV/atom
- Total moment: 0.00 μB/f.u.
- Density of states at the Fermi level: 1.088 states/eV/f.u.

Unit cell a=4.210 b=4.210 c=8.550 alpha=90.00 beta=90.00 gamma=90.00
Space group I-4m2 (No. 119)
Asymmetric unit:
Li 0.000 0.000 0.000
In 0.000 0.000 0.500
In 0.000 0.500 0.250
Cu 0.000 0.500 0.750

=====

Record 7
Li3InCu8 after structural relaxation. Source: Alexandria, functional PBE.

## Properties
- Energy of formation: -70 meV/atom
- Total moment: 0.00 μB/f.u.
- Density of states at the Fermi level: 5.995 states/eV/f.u.

Unit cell a=4.9274 b=4.9274 c=24.2577 alpha=90.00 beta=90.00 gamma=120.00
Space group R3m (No. 160, hexagonal axes)
Asymmetric unit:
Li 0.0000 0.0000 0.0000
Li 0.0000 0.0000 0.1243
Li 0.0000 0.0000 0.6260
In 0.0000 0.0000 0.4995
Cu 0.0000 0.0000 0.3124
Cu 0.0000 0.0000 0.8122
Cu 0.9998 0.4999 0.0618
Cu 0.9997 0.4999 0.5631

=====

Record 8
LiIn2Cu after structural relaxation. Source: Alexandria, functional PBE.

## Properties
- Energy of formation: 24 meV/atom
- Total moment: 0.00 μB/f.u.
- Density of states at the Fermi level: 1.192 states/eV/f.u.

Unit cell a=3.7128 b=3.7128 c=21.8485 alpha=90.00 beta=90.00 gamma=120.00
Space group R3m (No. 160, hexagonal axes)
Asymmetric unit:
Li 0.0000 0.0000 0.0000
In 0.0000 0.0000 0.5722
In 0.0000 0.0000 0.7585
Cu 0.0000 0.0000 0.1650

=====

- What is the energy of formation in the sixth record?
  -53 meV/atom